{"formula": "MgCdNiF6", "functional": "PBE+U", "state": "optimized geometry", "lattice_angstrom": [[-0.419, 5.234, 0.398], [-4.272, -2.915, -0.991], [-1.612, -0.847, 9.445]], "species": ["Cd", "Cd", "Ni", "Ni", "F", "F", "F", "F", "F", "F", "F", "F", "F", "F", "F", "F", "Mg", "Mg"], "frac_coords": [[0.000, 0.000, 0.500], [0.000, 0.000, 0.000], [0.333, 0.667, 0.750], [0.667, 0.333, 0.250], [0.003, 0.648, 0.362], [0.003, 0.355, 0.138], [0.645, 0.997, 0.362], [0.355, 0.003, 0.638], [0.648, 0.003, 0.862], [0.648, 0.645, 0.638], [0.355, 0.352, 0.862], [0.645, 0.648, 0.138], [0.997, 0.352, 0.638], [0.352, 0.355, 0.362], [0.997, 0.645, 0.862], [0.352, 0.997, 0.138], [0.667, 0.333, 0.750], [0.333, 0.667, 0.250]], "space_group": "No. 163", "mass_density_g_cm3": 4.45, "dft_energy_ev_per_cell": -80.06, "total_magnetization_mub_per_fu": 1.96, "crystal_system": "trigonal", "n_ef_per_ev_fu": 0.0, "volume_a3_per_atom": 12.83}